*one*
# HgTe2F

An optimized crystal structure of HgTe2F (PBE, Alexandria via LeMat-Bulk).

Geometry as POSCAR:
```
HgTe2F
1.0
-2.205 2.205 10.243
2.205 -2.205 10.243
2.205 2.205 -10.243
Hg Te F
2 4 2
Direct
0.000 0.000 0.000
0.750 0.250 0.500
0.132 0.625 0.007
0.375 0.382 0.507
0.618 0.125 0.993
0.875 0.868 0.493
0.250 0.750 0.500
0.500 0.500 0.000
```

Output
* volume: 24.90 A^3/atom
* SG: No. 122


*two*
# HgTe2F

An optimized crystal structure of HgTe2F (PBE, Alexandria via LeMat-Bulk).

Geometry as POSCAR:
```
HgTe2F
1.0
0.000 3.545 3.545
3.545 0.000 3.545
3.545 3.545 0.000
Hg Te F
1 2 1
Direct
0.000 0.000 0.000
0.250 0.250 0.250
0.750 0.750 0.750
0.500 0.500 0.500
```

Output
* volume: 22.28 A^3/atom
* SG: No. 225


*three*
# HgTe2F

An optimized crystal structure of HgTe2F (PBE, Alexandria via LeMat-Bulk).

Geometry as POSCAR:
```
HgTe2F
1.0
1.670 0.964 9.779
-1.670 0.964 9.779
0.000 -1.929 9.779
Hg Te F
1 2 1
Direct
0.000 0.000 0.000
0.096 0.096 0.096
0.904 0.904 0.904
0.500 0.500 0.500
```

Output
* volume: 23.63 A^3/atom
* SG: No. 166


*four*
# HgTe2F

An optimized crystal structure of HgTe2F (PBE, Alexandria via LeMat-Bulk).

Geometry as POSCAR:
```
HgTe2F
1.0
2.195 1.267 7.689
-2.195 1.267 7.689
0.000 -2.535 7.689
Hg Te F
1 2 1
Direct
0.000 0.000 0.000
0.401 0.401 0.401
0.599 0.599 0.599
0.500 0.500 0.500
```

Output
* volume: 32.09 A^3/atom
* SG: No. 166


Stability check: which of them is most stable? *one*.


*one*
# HgTeF3

An optimized crystal structure of HgTeF3 (PBE, Alexandria via LeMat-Bulk).

Geometry as POSCAR:
```
HgTeF3
1.0
4.635 0.000 0.000
0.000 4.635 0.000
0.000 0.000 4.635
Hg Te F
1 1 3
Direct
0.000 0.000 0.000
0.500 0.500 0.500
0.000 0.000 0.500
0.000 0.500 0.000
0.500 0.000 0.000
```

Output
* volume: 19.91 A^3/atom
* SG: No. 221


*two*
# HgTeF3

An optimized crystal structure of HgTeF3 (PBE, Alexandria via LeMat-Bulk).

Geometry as POSCAR:
```
HgTeF3
1.0
4.572 0.000 0.000
0.000 4.572 0.000
0.000 0.000 4.572
Hg Te F
1 1 3
Direct
0.000 0.000 0.000
0.500 0.500 0.500
0.000 0.500 0.500
0.500 0.000 0.500
0.500 0.500 0.000
```

Output
* volume: 19.11 A^3/atom
* SG: No. 221


Stability check: which of them is most stable? *two*.


*one*
# Ti3HgF

An optimized crystal structure of Ti3HgF (PBE, Alexandria via LeMat-Bulk).

Geometry as POSCAR:
```
Ti3HgF
1.0
5.149 0.000 0.000
0.000 5.149 0.000
0.000 0.000 5.149
Ti Hg F
3 1 1
Direct
0.000 0.000 0.500
0.000 0.500 0.000
0.500 0.000 0.000
0.000 0.000 0.000
0.500 0.500 0.500
```

Output
* volume: 27.30 A^3/atom
* SG: No. 221


*two*
# Ti3HgF

An optimized crystal structure of Ti3HgF (PBE, Alexandria via LeMat-Bulk).

Geometry as POSCAR:
```
Ti3HgF
1.0
4.269 0.000 0.000
0.000 4.269 0.000
0.000 0.000 4.269
Ti Hg F
3 1 1
Direct
0.000 0.000 0.500
0.000 0.500 0.000
0.500 0.000 0.000
0.500 0.500 0.500
0.000 0.000 0.000
```

Output
* volume: 15.56 A^3/atom
* SG: No. 221


Stability check: which of them is most stable? *two*.


*one*
# TlHgF

An optimized crystal structure of TlHgF (PBE, Alexandria via LeMat-Bulk).

Geometry as POSCAR:
```
TlHgF
1.0
-1.819 1.819 6.245
1.819 -1.819 6.245
1.819 1.819 -6.245
Tl Hg F
1 1 1
Direct
0.000 0.000 0.000
0.274 0.274 0.000
0.560 0.560 0.000
```

Output
* volume: 27.55 A^3/atom
* SG: No. 107


*two*
# TlHgF

An optimized crystal structure of TlHgF (PBE, Alexandria via LeMat-Bulk).

Geometry as POSCAR:
```
TlHgF
1.0
0.000 3.430 3.430
3.430 0.000 3.430
3.430 3.430 0.000
Tl Hg F
1 1 1
Direct
0.000 0.000 0.000
0.500 0.500 0.500
0.250 0.250 0.250
```

Output
* volume: 26.90 A^3/atom
* SG: No. 216


Stability check: which of them is most stable? *one*.


*one*
# TlHgF

An optimized crystal structure of TlHgF (PBE, Alexandria via LeMat-Bulk).

Geometry as POSCAR:
```
TlHgF
1.0
5.772 -1.937 0.000
5.772 1.937 0.000
-4.638 0.000 7.834
Tl Hg F
2 2 2
Direct
0.080 0.080 0.354
0.920 0.920 0.646
0.335 0.335 0.939
0.665 0.665 0.061
0.324 0.324 0.443
0.676 0.676 0.557
```

Output
* volume: 29.20 A^3/atom
* SG: No. 12


*two*
# TlHgF

An optimized crystal structure of TlHgF (PBE, Alexandria via LeMat-Bulk).

Geometry as POSCAR:
```
TlHgF
1.0
3.795 -2.179 0.000
3.795 2.179 0.000
-2.559 0.000 11.314
Tl Hg F
2 2 2
Direct
0.215 0.215 0.143
0.785 0.785 0.857
0.368 0.368 0.601
0.632 0.632 0.399
0.140 0.140 0.921
0.860 0.860 0.079
```

Output
* volume: 31.19 A^3/atom
* SG: No. 12


*three*
# TlHgF

An optimized crystal structure of TlHgF (PBE, Alexandria via LeMat-Bulk).

Geometry as POSCAR:
```
TlHgF
1.0
4.018 0.000 0.000
-2.009 3.480 0.000
0.000 0.000 6.471
Tl Hg F
1 1 1
Direct
0.000 0.000 0.000
0.333 0.667 0.554
0.667 0.333 0.162
```

Output
* volume: 30.15 A^3/atom
* SG: No. 156


Stability check: which of them is most stable? *two*.